1.
The following is a DFT calculation (PBE+U) of a geometry-optimized VClO2 structure.

The structure belongs to space group R-3m (No. 166, hexagonal axes); the cell edges are 3.1924, 3.1924 and 23.6625 Å and the angles 90.00°, 90.00° and 120.00°. The distinct sites, in fractional coordinates, are V at (0.0000, 0.0000, 0.0000), Cl at (0.0000, 0.0000, 0.5000) and O at (0.0000, 0.0000, 0.0716).

The total moment comes out at 3.19 μB per formula unit. The calculation puts the density of states at the Fermi level at 8.75 states/eV/cell.


2.
The following is a DFT calculation (PBE+U) of a geometry-optimized VClO2 structure.

The structure belongs to space group Fm-3m (No. 225); the cell edges are 5.627, 5.627 and 5.627 Å and the angles 90.00°, 90.00° and 90.00°. The distinct sites, in fractional coordinates, are V at (0.000, 0.000, 0.000), Cl at (0.000, 0.000, 0.500) and O at (0.250, 0.250, 0.250).

The total moment comes out at 0.02 μB per formula unit. The calculation puts the density of states at the Fermi level at 11.33 states/eV/cell.


3.
The following is a DFT calculation (PBE+U) of a geometry-optimized VClO2 structure.

The structure belongs to space group R-3m (No. 166, hexagonal axes); the cell edges are 2.9201, 2.9201 and 28.2766 Å and the angles 90.00°, 90.00° and 120.00°. The distinct sites, in fractional coordinates, are V at (0.0000, 0.0000, 0.0000), Cl at (0.0000, 0.0000, 0.5000) and O at (0.0000, 0.0000, 0.3686).

The total moment comes out at 1.25 μB per formula unit. The calculation puts the density of states at the Fermi level at 8.62 states/eV/cell.


4.
The following is a DFT calculation (PBE+U) of a geometry-optimized VClO2 structure.

The structure belongs to space group Cmcm (No. 63); the cell edges are 2.794, 12.908 and 8.648 Å and the angles 90.00°, 90.00° and 90.00°. The distinct sites, in fractional coordinates, are V at (0.000, 0.122, 0.250), Cl at (0.000, 0.045, 0.750) and O at (0.000, 0.352, 0.612).

The total moment comes out at 0.00 μB per formula unit.


Most stable = 4


1.
The following is a DFT calculation (PBE+U) of a geometry-optimized Zr2WClO structure.

The structure belongs to space group P4/mmm (No. 123); the cell edges are 5.130, 5.130 and 4.671 Å and the angles 90.00°, 90.00° and 90.00°. The distinct sites, in fractional coordinates, are Zr at (0.000, 0.500, 0.000), W at (0.000, 0.000, 0.000), Cl at (0.000, 0.000, 0.500) and O at (0.500, 0.500, 0.500).

The total moment comes out at 0.26 μB per formula unit. The calculation puts the density of states at the Fermi level at 3.60 states/eV/cell.


2.
The following is a DFT calculation (PBE+U) of a geometry-optimized Zr2WClO structure.

The structure belongs to space group P4/mmm (No. 123); the cell edges are 4.295, 4.295 and 5.358 Å and the angles 90.00°, 90.00° and 90.00°. The distinct sites, in fractional coordinates, are Zr at (0.000, 0.500, 0.000), W at (0.000, 0.000, 0.500), Cl at (0.500, 0.500, 0.500) and O at (0.500, 0.500, 0.000).

The total moment comes out at 1.82 μB per formula unit. The calculation puts the density of states at the Fermi level at 3.23 states/eV/cell.


Most stable = 2


1.
The following is a DFT calculation (PBE+U) of a geometry-optimized ZrWCl2O structure.

The structure belongs to space group P4/mmm (No. 123); the cell edges are 5.502, 5.502 and 3.817 Å and the angles 90.00°, 90.00° and 90.00°. The distinct sites, in fractional coordinates, are Zr at (0.000, 0.000, 0.000), W at (0.500, 0.500, 0.500), Cl at (0.000, 0.500, 0.500) and O at (0.500, 0.500, 0.000).

The total moment comes out at 5.47 μB per formula unit. The calculation puts the density of states at the Fermi level at 3.31 states/eV/cell.


2.
The following is a DFT calculation (PBE+U) of a geometry-optimized ZrWCl2O structure.

The structure belongs to space group P4/mmm (No. 123); the cell edges are 4.813, 4.813 and 6.114 Å and the angles 90.00°, 90.00° and 90.00°. The distinct sites, in fractional coordinates, are Zr at (0.000, 0.000, 0.000), W at (0.000, 0.000, 0.500), Cl at (0.000, 0.500, 0.000) and O at (0.500, 0.500, 0.500).

The total moment comes out at 3.53 μB per formula unit. The calculation puts the density of states at the Fermi level at 12.16 states/eV/cell.


Most stable = 1